*a*
Computed, not measured: crystalline SbAsPbI2 at its relaxed geometry at the PBE level of DFT.

Structure (CIF):
```
data_SbAsPbI2
_chemical_formula_sum 'Sb1 As1 Pb1 I2'
_space_group_name_H-M_alt 'P 1'
_space_group_IT_number 1
_cell_length_a 5.6539
_cell_length_b 5.6539
_cell_length_c 5.8474
_cell_angle_alpha 90.00
_cell_angle_beta 90.00
_cell_angle_gamma 90.00
loop_
_space_group_symop_operation_xyz
'x,y,z'
loop_
_atom_site_label
_atom_site_fract_x
_atom_site_fract_y
_atom_site_fract_z
_atom_site_occupancy
Sb1 0.0000 0.0000 0.0000 1
As1 0.0000 0.0000 0.5000 1
Pb1 0.5000 0.5000 0.0000 1
I1 0.0000 0.5000 0.5000 1
I2 0.5000 0.0000 0.5000 1
```

Values from the calculation:
Volume ... 187 Å³ per cell
Mass density ... 5.8 g/cm3
Crystal system ... tetragonal


*b*
Computed, not measured: crystalline SbAsPbI2 at its relaxed geometry at the PBE level of DFT.

Structure (CIF):
```
data_SbAsPbI2
_chemical_formula_sum 'Sb1 As1 Pb1 I2'
_space_group_name_H-M_alt 'P 1'
_space_group_IT_number 1
_cell_length_a 6.1472
_cell_length_b 6.1472
_cell_length_c 6.1890
_cell_angle_alpha 90.00
_cell_angle_beta 90.00
_cell_angle_gamma 90.00
loop_
_space_group_symop_operation_xyz
'x,y,z'
loop_
_atom_site_label
_atom_site_fract_x
_atom_site_fract_y
_atom_site_fract_z
_atom_site_occupancy
Sb1 0.0000 0.0000 0.0000 1
As1 0.5000 0.5000 0.0000 1
Pb1 0.0000 0.0000 0.5000 1
I1 0.0000 0.5000 0.5000 1
I2 0.5000 0.0000 0.5000 1
```

Values from the calculation:
Volume ... 234 Å³ per cell
Mass density ... 4.7 g/cm3
Crystal system ... tetragonal


Relative energies, unit kJ/mol of atoms: *a* 0.0; *b* 36.8